Ba12Sb3F5 | PBE-GGA | optimized geometry

```
Ba12Sb3F5
1.0
15.8809 0.0000 0.0000
-5.2936 14.9726 0.0000
-5.2936 -7.4863 12.9667
Ba F Sb
48 20 12
direct
0.5223 0.2101 0.1187
0.5223 0.3122 0.9035
0.7101 0.5913 0.1878
0.2899 0.4087 0.8122
0.9087 0.0965 0.6187
0.0913 0.9035 0.3813
0.9087 0.8122 0.7899
0.7899 0.3122 0.9087
0.8813 0.2899 0.4777
0.0965 0.9087 0.1187
0.2101 0.6878 0.0913
0.4087 0.1187 0.5965
0.7899 0.4777 0.3813
0.4777 0.7899 0.8813
0.6878 0.4777 0.5965
0.9035 0.8122 0.5223
0.4087 0.2899 0.3122
0.0223 0.6187 0.7101
0.1878 0.0965 0.9777
0.8122 0.9087 0.2899
0.0913 0.1878 0.2101
0.4777 0.6878 0.0965
0.6878 0.2101 0.5913
0.2101 0.5223 0.6187
0.6187 0.0223 0.2101
0.9777 0.5965 0.1878
0.1187 0.7101 0.5223
0.3122 0.5223 0.4035
0.5913 0.8813 0.4035
0.1187 0.4087 0.0965
0.3813 0.9777 0.7899
0.3122 0.7899 0.4087
0.8122 0.9035 0.0223
0.9035 0.0913 0.8813
0.5965 0.9777 0.6878
0.1878 0.0913 0.7101
0.8813 0.5913 0.9035
0.6187 0.5965 0.9087
0.7101 0.1187 0.0223
0.5913 0.7101 0.6878
0.4035 0.3813 0.5913
0.4035 0.0223 0.3122
0.2899 0.8813 0.9777
0.0965 0.1878 0.4777
0.3813 0.4035 0.0913
0.0223 0.4035 0.8122
0.5965 0.6187 0.4087
0.9777 0.3813 0.2899
0.8750 0.2500 0.6250
0.8750 0.6250 0.7500
0.2500 0.3750 0.6250
0.1250 0.3750 0.2500
0.0000 0.0000 0.0000
0.0000 0.5000 0.5000
0.3750 0.2500 0.1250
0.2500 0.8750 0.1250
0.5000 0.5000 0.5000
0.1250 0.7500 0.3750
0.7500 0.6250 0.3750
0.7500 0.1250 0.8750
0.0000 0.0000 0.5000
0.5000 0.0000 0.0000
0.5000 0.5000 0.0000
0.6250 0.7500 0.8750
0.6250 0.8750 0.2500
0.3750 0.1250 0.7500
0.5000 0.0000 0.5000
0.0000 0.5000 0.0000
0.1250 0.2500 0.8750
0.3750 0.7500 0.6250
0.6250 0.3750 0.7500
0.8750 0.1250 0.2500
0.7500 0.8750 0.6250
0.2500 0.1250 0.3750
0.8750 0.7500 0.1250
0.1250 0.8750 0.7500
0.3750 0.6250 0.2500
0.7500 0.3750 0.1250
0.2500 0.6250 0.8750
0.6250 0.2500 0.3750
```

## Properties
DOS(E_F) in states/eV/f.u.: 15.2
Raw formation energy in meV/atom: -1682


CoRuSe3 | PBE-GGA | optimized geometry

```
CoRuSe3
1.0
-1.6017 2.9364 -3.0845
-4.0464 -2.0768 0.1241
-1.3278 2.7869 3.3425
Se Ru Co
3 1 1
direct
0.0000 0.5000 0.0000
0.5000 0.0000 0.0000
0.0000 0.0000 0.5000
0.5000 0.5000 0.5000
0.0000 0.0000 0.0000
```

## Properties
DOS(E_F) in states/eV/f.u.: 4.7
Excess energy over the best structure of this formula in the dataset in eV per formula unit: 0.00
Raw formation energy in meV/atom: 825


Pm3Ho8Tm | PBE-GGA | optimized geometry

```
Pm3Ho8Tm
1.0
8.2129 -1.3245 -2.2630
-5.8863 6.1691 -1.2731
1.1721 1.3244 8.4380
Ho Tm Pm
8 1 3
direct
0.5034 0.7470 0.7564
0.9906 0.7470 0.2436
0.0094 0.2530 0.7564
0.1675 0.7508 0.9184
0.8325 0.7509 0.5833
0.1676 0.2492 0.4167
0.8324 0.2491 0.0816
0.4966 0.2530 0.2436
0.0000 0.0000 0.0000
0.5000 0.2546 0.7546
0.5000 0.7454 0.2454
0.0000 0.5000 0.5000
```

## Properties
DOS(E_F) in states/eV/f.u.: 15.8
Energy relative to the elements in meV/atom: 300


MgBi2S | PBE-GGA | optimized geometry

```
MgBi2S
1.0
-2.4814 -4.4582 1.1562
-4.8143 0.1398 2.0426
-4.1022 -1.5291 -2.8642
Bi Mg S
2 1 1
direct
0.7500 0.7500 0.7500
0.2500 0.2500 0.2500
0.0000 0.0000 0.0000
0.5000 0.5000 0.5000
```

## Properties
DOS(E_F) in states/eV/f.u.: 2.8
Excess energy over the best structure of this formula in the dataset in eV per formula unit: 0.67
Raw formation energy in meV/atom: 138


PmNdMgAg | PBE-GGA | optimized geometry

```
PmNdMgAg
1.0
3.8403 0.0000 0.0000
0.0000 3.8403 0.0000
0.0000 0.0000 7.4478
Pm Ag Mg Nd
1 1 1 1
direct
0.0000 0.0000 0.8490
0.5000 0.5000 0.6109
0.5000 0.5000 0.1045
0.0000 0.0000 0.3636
```

## Properties
DOS(E_F) in states/eV/f.u.: 3.0
Energy relative to the elements in meV/atom: -184
Excess energy over the best structure of this formula in the dataset in eV per formula unit: 0.00


CaPm4Ru | PBE-GGA | optimized geometry

```
CaPm4Ru
1.0
6.2826 0.0000 -0.5275
0.0000 7.5893 -0.0003
-2.4492 -3.7950 8.5152
Pm Ca Ru
8 2 2
direct
0.6070 0.8528 0.2139
0.0000 0.7872 0.0000
0.3930 0.1472 0.7861
0.6070 0.3610 0.2139
0.8310 0.3309 0.6618
0.0000 0.2128 0.0000
0.1690 0.6691 0.3382
0.3930 0.6390 0.7861
0.2008 0.2007 0.4013
0.7992 0.7993 0.5987
0.2582 0.5001 0.0004
0.7418 0.4999 0.9996
```

## Properties
DOS(E_F) in states/eV/f.u.: 8.2
Energy relative to the elements in meV/atom: -47


SmPuSn2 | PBE-GGA | optimized geometry

```
SmPuSn2
1.0
-3.0263 2.1202 2.5780
2.7670 -0.8624 3.9575
2.3558 4.2415 -0.7228
Sn Sm Pu
2 1 1
direct
0.0000 0.5000 0.0000
0.0000 0.0000 0.5000
0.5000 0.0000 0.0000
0.5000 0.5000 0.5000
```

## Properties
DOS(E_F) in states/eV/f.u.: 10.8
Energy relative to the elements in meV/atom: -495


Mn3CdCo | PBE-GGA | optimized geometry

```
Mn3CdCo
1.0
-0.8827 -3.6900 2.4784
3.5248 0.9585 2.6824
-2.7083 2.4501 2.6833
Cd Mn Co
1 3 1
direct
0.5000 0.5000 0.5000
0.0000 0.0000 0.5000
0.0000 0.5000 0.0000
0.5000 0.0000 0.0000
0.0000 0.0000 0.0000
```

## Properties
DOS(E_F) in states/eV/f.u.: 4.5
Energy relative to the elements in meV/atom: 757
Excess energy over the best structure of this formula in the dataset in eV per formula unit: 0.00